DFT (PBE) results for CaTe2IrI after structural relaxation.

Unit cell a=5.8490 b=5.8490 c=5.7484 alpha=90.00 beta=90.00 gamma=90.00
Closest atoms and distances in Å follow each position.
Element x y z (fractional)
1 Te 0.0000 0.5000 0.0000  2 Ca 2.92
2 Te 0.5000 0.0000 0.0000  2 Ca 2.92
3 I 0.0000 0.0000 0.5000  2 Ca 2.87
4 Ca 0.0000 0.0000 0.0000  2 I 2.87, 4 Te 2.92
5 Ir 0.5000 0.5000 0.5000  8 Te 4.10, 4 I 4.14

Output
raw total energy	-2.74	eV/atom
formation energy (no corrections)	0.997	eV/atom
total magnetic moment	3.09	μB per formula unit